A plane-wave DFT calculation with PBE was carried out for a relaxed structure of Pd2OF2.

Lattice parameters (Å, degrees): 6.9141 6.1655 6.0273 69.08 56.40 54.52
Fractional coordinates of all 10 atoms:
F (0.4803, 0.4803, 0.0197)
F (0.7697, 0.7697, 0.2303)
F (0.0197, 0.0197, 0.4803)
F (0.2303, 0.2303, 0.7697)
O (0.5000, 0.5000, 0.5000)
O (0.7500, 0.7500, 0.7500)
Pd (0.6250, 0.6250, 0.1250)
Pd (0.6250, 0.1250, 0.6250)
Pd (0.1250, 0.6250, 0.6250)
Pd (0.6250, 0.6250, 0.6250)

Values from the calculation:
For the energy above the most stable polymorph in this dataset, the calculation gives 0.022 eV per atom. The calculation puts the total energy at -4.60 eV per atom.


A plane-wave DFT calculation with PBE was carried out for a relaxed structure of Pd2OF2.

Lattice parameters (Å, degrees): 4.3779 5.3066 5.3066 80.53 101.60 101.60
Fractional coordinates of all 10 atoms:
F (0.7867, 0.5639, 0.1287)
F (0.2133, 0.8713, 0.4361)
F (0.7867, 0.1287, 0.5639)
F (0.2133, 0.4361, 0.8713)
O (0.2772, 0.3647, 0.3647)
O (0.7228, 0.6353, 0.6353)
Pd (0.9306, 0.1450, 0.1450)
Pd (0.5000, 0.7310, 0.2690)
Pd (0.5000, 0.2690, 0.7310)
Pd (0.0694, 0.8550, 0.8550)

Values from the calculation:
For the energy above the most stable polymorph in this dataset, the calculation gives 0.381 eV per atom. The calculation puts the total energy at -4.24 eV per atom.


A plane-wave DFT calculation with PBE was carried out for a relaxed structure of PdOF2.

Lattice parameters (Å, degrees): 12.4596 14.4710 2.9969 90.00 90.00 90.00
Fractional coordinates of all 48 atoms:
F (0.7228, 0.1486, 0.0000)
F (0.5562, 0.2262, 0.0000)
F (0.0562, 0.2738, 0.0000)
F (0.2228, 0.3514, 0.0000)
F (0.7772, 0.6486, 0.0000)
F (0.9438, 0.7262, 0.0000)
F (0.4438, 0.7738, 0.0000)
F (0.2772, 0.8514, 0.0000)
F (0.5741, 0.0635, 0.5000)
F (0.0578, 0.1121, 0.5000)
F (0.2255, 0.1965, 0.5000)
F (0.8982, 0.2144, 0.5000)
F (0.3982, 0.2856, 0.5000)
F (0.7255, 0.3035, 0.5000)
F (0.5578, 0.3879, 0.5000)
F (0.0741, 0.4365, 0.5000)
F (0.9259, 0.5635, 0.5000)
F (0.4422, 0.6121, 0.5000)
F (0.2745, 0.6965, 0.5000)
F (0.6018, 0.7144, 0.5000)
F (0.1018, 0.7856, 0.5000)
F (0.7745, 0.8035, 0.5000)
F (0.9422, 0.8879, 0.5000)
F (0.4259, 0.9365, 0.5000)
O (0.8960, 0.0455, 0.0000)
O (0.3952, 0.1133, 0.0000)
O (0.8952, 0.3867, 0.0000)
O (0.3960, 0.4545, 0.0000)
O (0.6040, 0.5455, 0.0000)
O (0.1048, 0.6133, 0.0000)
O (0.6048, 0.8867, 0.0000)
O (0.1040, 0.9545, 0.0000)
O (0.2524, 0.0317, 0.5000)
O (0.7524, 0.4683, 0.5000)
O (0.2476, 0.5317, 0.5000)
O (0.7476, 0.9683, 0.5000)
Pd (0.1641, 0.0840, 0.0000)
Pd (0.6641, 0.4160, 0.0000)
Pd (0.3359, 0.5840, 0.0000)
Pd (0.8359, 0.9160, 0.0000)
Pd (0.8108, 0.0987, 0.5000)
Pd (0.4746, 0.1630, 0.5000)
Pd (0.9746, 0.3370, 0.5000)
Pd (0.3108, 0.4013, 0.5000)
Pd (0.6892, 0.5987, 0.5000)
Pd (0.0254, 0.6630, 0.5000)
Pd (0.5254, 0.8370, 0.5000)
Pd (0.1892, 0.9013, 0.5000)

Values from the calculation:
For the energy above the most stable polymorph in this dataset, the calculation gives 0.084 eV per atom. The calculation puts the total energy at -4.12 eV per atom.


A plane-wave DFT calculation with PBE was carried out for a relaxed structure of PdOF2.

Lattice parameters (Å, degrees): 4.9006 7.2001 4.9255 90.00 90.00 90.00
Fractional coordinates of all 16 atoms:
F (0.1616, 0.3950, 0.3925)
F (0.6616, 0.6050, 0.3925)
F (0.6558, 0.2771, 0.4288)
F (0.1558, 0.7229, 0.4288)
F (0.3384, 0.3950, 0.8925)
F (0.8384, 0.6050, 0.8925)
F (0.8442, 0.2771, 0.9288)
F (0.3442, 0.7229, 0.9288)
O (0.3183, 0.0520, 0.0889)
O (0.8183, 0.9480, 0.0889)
O (0.1817, 0.0520, 0.5889)
O (0.6817, 0.9480, 0.5889)
Pd (0.0049, 0.1695, 0.2718)
Pd (0.5049, 0.8305, 0.2718)
Pd (0.4951, 0.1695, 0.7718)
Pd (0.9951, 0.8305, 0.7718)

Values from the calculation:
For the energy above the most stable polymorph in this dataset, the calculation gives 0.000 eV per atom. The calculation puts the total energy at -4.20 eV per atom.


A plane-wave DFT calculation with PBE was carried out for a relaxed structure of PmOF.

Lattice parameters (Å, degrees): 5.5692 11.1099 11.0164 90.00 90.00 90.00
Fractional coordinates of all 48 atoms:
F (0.0057, 0.3838, 0.0073)
F (0.4943, 0.8838, 0.0073)
F (0.9952, 0.3752, 0.2417)
F (0.5048, 0.8752, 0.2417)
F (0.4952, 0.3752, 0.2583)
F (0.0048, 0.8752, 0.2583)
F (0.5057, 0.3838, 0.4927)
F (0.9943, 0.8838, 0.4927)
F (0.0057, 0.1162, 0.5073)
F (0.4943, 0.6162, 0.5073)
F (0.9952, 0.1248, 0.7417)
F (0.5048, 0.6248, 0.7417)
F (0.4952, 0.1248, 0.7583)
F (0.0048, 0.6248, 0.7583)
F (0.5057, 0.1162, 0.9927)
F (0.9943, 0.6162, 0.9927)
O (0.5061, 0.3681, 0.0043)
O (0.9939, 0.8681, 0.0043)
O (0.5140, 0.1253, 0.2422)
O (0.9860, 0.6253, 0.2422)
O (0.0140, 0.1253, 0.2578)
O (0.4860, 0.6253, 0.2578)
O (0.0061, 0.3681, 0.4957)
O (0.4939, 0.8681, 0.4957)
O (0.5061, 0.1319, 0.5043)
O (0.9939, 0.6319, 0.5043)
O (0.5140, 0.3747, 0.7422)
O (0.9860, 0.8747, 0.7422)
O (0.0140, 0.3747, 0.7578)
O (0.4860, 0.8747, 0.7578)
O (0.0061, 0.1319, 0.9957)
O (0.4939, 0.6319, 0.9957)
Pm (0.2567, 0.2380, 0.1243)
Pm (0.2433, 0.7380, 0.1243)
Pm (0.7855, 0.0132, 0.1256)
Pm (0.7145, 0.5132, 0.1256)
Pm (0.2855, 0.0132, 0.3744)
Pm (0.2145, 0.5132, 0.3744)
Pm (0.7567, 0.2380, 0.3757)
Pm (0.7433, 0.7380, 0.3757)
Pm (0.2567, 0.2620, 0.6243)
Pm (0.2433, 0.7620, 0.6243)
Pm (0.7855, 0.4868, 0.6256)
Pm (0.7145, 0.9868, 0.6256)
Pm (0.2855, 0.4868, 0.8744)
Pm (0.2145, 0.9868, 0.8744)
Pm (0.7567, 0.2620, 0.8757)
Pm (0.7433, 0.7620, 0.8757)

Values from the calculation:
The magnetic moment is 0.00 μB per cell. The calculation puts the total energy at -7.64 eV per atom.


A plane-wave DFT calculation with PBE was carried out for a relaxed structure of PmOF.

Lattice parameters (Å, degrees): 7.8438 3.9001 5.5590 90.00 90.00 90.00
Fractional coordinates of all 12 atoms:
F (0.6073, 0.7500, 0.0099)
F (0.1073, 0.7500, 0.4901)
F (0.8927, 0.2500, 0.5099)
F (0.3927, 0.2500, 0.9901)
O (0.8614, 0.2500, 0.0128)
O (0.3614, 0.2500, 0.4872)
O (0.6386, 0.7500, 0.5128)
O (0.1386, 0.7500, 0.9872)
Pm (0.1275, 0.2500, 0.2142)
Pm (0.6275, 0.2500, 0.2858)
Pm (0.3725, 0.7500, 0.7142)
Pm (0.8725, 0.7500, 0.7858)

Values from the calculation:
The magnetic moment is 0.00 μB per cell. The calculation puts the total energy at -7.65 eV per atom.


Please write out number 6 again, unchanged.
A plane-wave DFT calculation with PBE was carried out for a relaxed structure of PmOF.

Lattice parameters (Å, degrees): 7.8438 3.9001 5.5590 90.00 90.00 90.00
Fractional coordinates of all 12 atoms:
F (0.6073, 0.7500, 0.0099)
F (0.1073, 0.7500, 0.4901)
F (0.8927, 0.2500, 0.5099)
F (0.3927, 0.2500, 0.9901)
O (0.8614, 0.2500, 0.0128)
O (0.3614, 0.2500, 0.4872)
O (0.6386, 0.7500, 0.5128)
O (0.1386, 0.7500, 0.9872)
Pm (0.1275, 0.2500, 0.2142)
Pm (0.6275, 0.2500, 0.2858)
Pm (0.3725, 0.7500, 0.7142)
Pm (0.8725, 0.7500, 0.7858)

Values from the calculation:
The magnetic moment is 0.00 μB per cell. The calculation puts the total energy at -7.65 eV per atom.